Here is an optimized crystal structure of NdZr2C from Alexandria. Energies are from PBE.

## Properties
The value obtained for the calculated volume is 22.128 Å³/atom. The total energy is -32.2 eV per cell. For the theoretical density, the calculation gives 6354 kg/m³.

a b c (Å): 9.351 9.351 9.351
angles (deg): 20.59 20.59 20.59
Atoms (fractional coordinates):
Nd1 0.000 0.000 0.000
Zr1 0.121 0.121 0.121
Zr2 0.879 0.879 0.879
C1 0.500 0.500 0.500

---

Here is an optimized crystal structure of Nd2ZrC from Alexandria. Energies are from PBE.

## Properties
The value obtained for the calculated volume is 25.637 Å³/atom. The total energy is -26.1 eV per cell. For the theoretical density, the calculation gives 6343 kg/m³.

a b c (Å): 9.823 9.823 9.823
angles (deg): 20.58 20.58 20.58
Atoms (fractional coordinates):
Nd1 0.116 0.116 0.116
Nd2 0.884 0.884 0.884
Zr1 0.000 0.000 0.000
C1 0.500 0.500 0.500

---

Computed ΔH_f (0 K) (eV per atom) in order:
-0.27, 0.30